GdCuHgPd: optimized geometry, PBE-GGA.

POSCAR file:
```
GdCuHgPd
1.0
0.000 3.399 3.399
3.399 0.000 3.399
3.399 3.399 0.000
Gd Cu Hg Pd
1 1 1 1
direct
0.000 0.000 0.000 Gd
0.250 0.250 0.250 Cu
0.500 0.500 0.500 Hg
0.750 0.750 0.750 Pd
```

E: -6.315 eV/atom
ΔE_f: -0.40 eV/atom
Spin magnetization: 7.1 μB per formula unit